Record 1
A plane-wave DFT calculation with PBE was carried out for crystalline AlAuC at its relaxed geometry. Values from VASP.

Its space group is P-1, No. 2. As for the formation energy: 0.21 eV per atom. The value obtained for the total magnetic moment is 0.00 μB per formula unit.

```
&SYSTEM
  ibrav = 0, nat = 6, ntyp = 3
/
ATOMIC_SPECIES
Al 26.98 Al.upf
Au 196.97 Au.upf
C 12.01 C.upf
CELL_PARAMETERS angstrom
2.959 -0.018 0.006
-1.488 4.039 0.008
1.505 -2.135 8.152
ATOMIC_POSITIONS angstrom
Al 1.943 -1.596 7.747
Au 0.449 0.292 3.920
Al 1.931 -0.152 1.858
C 1.926 2.873 0.817
Au 1.937 1.997 5.694
C 1.914 1.535 0.651
```

Record 2
A plane-wave DFT calculation with PBE was carried out for crystalline AlAuC at its relaxed geometry. Values from VASP.

Its space group is P4/mmm, No. 123. As for the formation energy: 0.52 eV per atom. The value obtained for the total magnetic moment is 0.00 μB per formula unit.

```
&SYSTEM
  ibrav = 0, nat = 6, ntyp = 3
/
ATOMIC_SPECIES
Al 26.98 Al.upf
Au 196.97 Au.upf
C 12.01 C.upf
CELL_PARAMETERS angstrom
4.190 0.000 0.000
0.000 4.190 0.000
0.000 0.000 4.555
ATOMIC_POSITIONS angstrom
Al 0.000 0.000 2.277
Au 0.000 2.095 4.555
C 2.095 0.000 2.278
Au 2.095 0.000 0.000
Al 2.095 2.095 2.277
C 0.000 2.095 2.277
```

Q: Which formula does entry 2 have?
A: AlAuC